Compound: PmYErTm
Source: Alexandria via LeMat-Bulk
Functional: PBE
Structure: optimized geometry

The total magnetization is 0.0006 μB/atom. The value obtained for the offset from the most stable computed form is 95.3 meV/atom. The value obtained for the density of states at the Fermi level is 30.526 states/eV per cell. The value obtained for the total energy is -4.942 eV per atom.

The structure belongs to space group F-43m (No. 216); the cell edges are 8.0200, 8.0200 and 8.0200 Å and the angles 90.00°, 90.00° and 90.00°. The inequivalent atoms are Pm at (0.0000, 0.0000, 0.0000), Y at (0.0000, 0.0000, 0.5000), Er at (0.2500, 0.2500, 0.7500) and Tm at (0.2500, 0.2500, 0.2500).